DFT (PBEsol) results for crystalline InAgSe2 at its relaxed geometry.

symmetry = No. 160
electronic total energy = -0.280 Ry/atom
total magnetic moment = 0.000 μB per cell
DOS at the Fermi energy = 0.80 states/eV/f.u.
uncorrected formation energy = -306 meV per atom

The structure in POSCAR format:
```
InAgSe2
1.0
2.1482 1.2403 6.8406
-2.1482 1.2403 6.8406
0.0000 -2.4806 6.8406
In Ag Se
1 1 2
Cartesian
0.0000 0.0000 0.0000
0.0000 0.0000 10.6436
0.0000 0.0000 7.9277
0.0000 0.0000 17.9982
```